# Ti5In4Cu, optimized geometry, DFT PBE
data_Ti5In4Cu
_chemical_formula_sum 'Ti5 In4 Cu1'
_cell_length_a 2.9869
_cell_length_b 2.9869
_cell_length_c 20.5483
_cell_angle_alpha 90.00
_cell_angle_beta 90.00
_cell_angle_gamma 90.00
_space_group_name_H-M_alt 'P 4/m m m'
_space_group_IT_number 123
_space_group_name_Hall '-P 4 2'
loop_
_atom_site_label
_atom_site_fract_x
_atom_site_fract_y
_atom_site_fract_z
_atom_site_occupancy
Ti1 0.0000 0.0000 0.0000 1
Ti2 0.0000 0.0000 0.2096 1
Ti3 0.0000 0.0000 0.4187 1
In1 0.5000 0.5000 0.1048 1
In2 0.5000 0.5000 0.3137 1
Cu1 0.5000 0.5000 0.5000 1
# E_form	-0.122	eV/atom

=====

# La8ZnGe3Br4, optimized geometry, DFT PBE
data_La8ZnGe3Br4
_chemical_formula_sum 'La24 Zn3 Ge9 Br12'
_cell_length_a 8.8738
_cell_length_b 8.8738
_cell_length_c 21.5300
_cell_angle_alpha 90.00
_cell_angle_beta 90.00
_cell_angle_gamma 120.00
_space_group_name_H-M_alt 'R -3 m'
_space_group_IT_number 166
_space_group_name_Hall '-R 3 2"'
loop_
_atom_site_label
_atom_site_fract_x
_atom_site_fract_y
_atom_site_fract_z
_atom_site_occupancy
La1 0.0000 0.0000 0.2411 1
La2 0.0037 0.5018 0.7573 1
Zn1 0.0000 0.0000 0.5000 1
Ge1 0.0000 0.5000 0.5000 1
Br1 0.0000 0.0000 0.0000 1
Br2 0.0000 0.5000 0.0000 1
# raw formation energy	-1.1025	eV per atom

=====

# SmZnGe, optimized geometry, DFT PBE
data_SmZnGe
_chemical_formula_sum 'Sm2 Zn2 Ge2'
_cell_length_a 3.0874
_cell_length_b 3.0874
_cell_length_c 15.4605
_cell_angle_alpha 90.00
_cell_angle_beta 90.00
_cell_angle_gamma 90.00
_space_group_name_H-M_alt 'I 4 m m'
_space_group_IT_number 107
_space_group_name_Hall 'I 4 -2'
loop_
_atom_site_label
_atom_site_fract_x
_atom_site_fract_y
_atom_site_fract_z
_atom_site_occupancy
Sm1 0.0000 0.0000 0.0000 1
Zn1 0.0000 0.0000 0.6509 1
Ge1 0.0000 0.0000 0.8111 1
# E_form	0.227	eV/atom

=====

# Sr2SnBPd6, optimized geometry, DFT PBE
data_Sr2SnBPd6
_chemical_formula_sum 'Sr4 Sn2 B2 Pd12'
_cell_length_a 10.3226
_cell_length_b 5.9530
_cell_length_c 7.3964
_cell_angle_alpha 90.00
_cell_angle_beta 118.02
_cell_angle_gamma 90.00
_space_group_name_H-M_alt 'C 1 2/m 1'
_space_group_IT_number 12
loop_
_space_group_symop_operation_xyz
'x,y,z'
'-x,-y,-z'
'-x,y,-z'
'x,-y,z'
'x+1/2,y+1/2,z'
'-x+1/2,-y+1/2,-z'
'-x+1/2,y+1/2,-z'
'x+1/2,-y+1/2,z'
loop_
_atom_site_label
_atom_site_fract_x
_atom_site_fract_y
_atom_site_fract_z
_atom_site_occupancy
Sr1 0.2236 0.0000 0.1745 1
Sn1 0.0000 0.5000 0.0000 1
B1 0.0000 0.0000 0.5000 1
Pd1 0.0270 0.2596 0.3261 1
Pd2 0.2314 0.0000 0.6692 1
# E_form	-0.593	eV/atom

=====

# Zr2Mn3Si4, optimized geometry, DFT PBE
data_Zr2Mn3Si4
_chemical_formula_sum 'Zr4 Mn6 Si8'
_cell_length_a 6.3823
_cell_length_b 6.4541
_cell_length_c 6.5362
_cell_angle_alpha 90.00
_cell_angle_beta 110.25
_cell_angle_gamma 90.00
_space_group_name_H-M_alt 'P 1 21/c 1'
_space_group_IT_number 14
loop_
_space_group_symop_operation_xyz
'x,y,z'
'-x,-y,-z'
'-x,y+1/2,-z+1/2'
'x,-y+1/2,z+1/2'
loop_
_atom_site_label
_atom_site_fract_x
_atom_site_fract_y
_atom_site_fract_z
_atom_site_occupancy
Zr1 0.1895 0.1702 0.0609 1
Mn1 0.2470 0.6444 0.2504 1
Mn2 0.5000 0.0000 0.5000 1
Si1 0.0974 0.5559 0.8679 1
Si2 0.4833 0.6413 0.6264 1
# raw formation energy	-0.6062	eV per atom

=====

# NdTmNp2S4, optimized geometry, DFT PBE
data_NdTmNp2S4
_chemical_formula_sum 'Nd1 Tm1 Np2 S4'
_cell_length_a 6.7712
_cell_length_b 3.9392
_cell_length_c 6.8668
_cell_angle_alpha 90.00
_cell_angle_beta 109.61
_cell_angle_gamma 90.00
_space_group_name_H-M_alt 'P 1 2/m 1'
_space_group_IT_number 10
loop_
_space_group_symop_operation_xyz
'x,y,z'
'-x,-y,-z'
'-x,y,-z'
'x,-y,z'
loop_
_atom_site_label
_atom_site_fract_x
_atom_site_fract_y
_atom_site_fract_z
_atom_site_occupancy
Nd1 0.0000 0.0000 0.0000 1
Tm1 0.0000 0.5000 0.5000 1
Np1 0.5000 0.0000 0.5000 1
Np2 0.5000 0.5000 0.0000 1
S1 0.2488 0.0000 0.7419 1
S2 0.2561 0.5000 0.2623 1
# raw formation energy	-1.6520	eV per atom

=====

Number 1: magnetization 0.53 μB per cell, ρ 6.90 g/cm3, D(E_F) 1.07 states/eV/atom. Number 2: magnetization 0.00 μB per cell, ρ 5.82 g/cm3, D(E_F) 0.62 states/eV/atom. Number 3: magnetization 0.00 μB per cell, ρ 6.50 g/cm3, D(E_F) 1.00 states/eV/atom. Number 4: magnetization 0.00 μB per cell, ρ 7.81 g/cm3, D(E_F) 0.43 states/eV/atom. Number 5: magnetization 5.79 μB per cell, ρ 6.04 g/cm3, D(E_F) 0.74 states/eV/atom. Number 6: magnetization 0.20 μB per cell, ρ 8.81 g/cm3, D(E_F) 2.42 states/eV/atom.